Rb2LiPCl6 | PBE | relaxed

The value obtained for the uncorrected formation energy is -1.307 eV per atom.

a = 7.477 Å, b = 7.477 Å, c = 6.973 Å
α = 57.58°, β = 57.58°, γ = 90.00°
Fractional coordinates of all 10 atoms:
Rb: 0.250 0.750 0.500
Rb: 0.750 0.250 0.500
P: 0.000 0.000 0.000
Cl: 0.232 0.768 0.000
Cl: 0.257 0.257 0.487
Cl: 0.768 0.768 0.000
Cl: 0.743 0.743 0.513
Cl: 0.232 0.232 0.000
Cl: 0.768 0.232 0.000
Li: 0.500 0.500 0.000